# 1
# TlTe2Ir

An optimized crystal structure of TlTe2Ir (PBE, Alexandria via LeMat-Bulk).

extended XYZ file:
```
4
Lattice="4.132 0.000 0.000 0.000 5.366 0.000 0.000 0.000 4.349" Properties=species:S:1:pos:R:3 pbc="T T T"
Tl 2.066 0.000 2.175
Ir 0.000 2.683 2.175
Te 0.000 0.000 0.000
Te 2.066 2.683 0.000
```

## Properties
calculated total energy: -3.725 eV/atom
crystal system: orthorhombic
SG: Pmmm
excess energy over the best structure of this formula in the dataset: 0.878 eV per atom
raw formation energy: 652 meV per atom

# 2
# LiCdAg2

An optimized crystal structure of LiCdAg2 (PBE, Alexandria via LeMat-Bulk).

extended XYZ file:
```
4
Lattice="-0.970 0.729 -3.990 -4.050 -0.352 0.921 -0.174 4.048 0.782" Properties=species:S:1:pos:R:3 pbc="T T T"
Ag 0.000 0.000 0.000
Ag -2.510 0.188 -1.535
Cd -0.572 2.388 -1.604
Li -2.112 1.848 0.851
```

## Properties
calculated total energy: -2.298 eV/atom
crystal system: tetragonal
SG: P4/mmm
energy of formation from the pure elements: -165 meV per atom

# 3
# Tb2YPb

An optimized crystal structure of Tb2YPb (PBE, Alexandria via LeMat-Bulk).

extended XYZ file:
```
4
Lattice="3.549 0.000 0.000 1.775 3.074 0.000 1.775 1.025 12.075" Properties=species:S:1:pos:R:3 pbc="T T T"
Tb 5.324 3.074 3.184
Pb 0.000 0.000 0.000
Y 3.549 2.049 6.038
Tb 1.775 1.025 8.891
```

## Properties
calculated total energy: -4.813 eV/atom
crystal system: trigonal
SG: R-3m
excess energy over the best structure of this formula in the dataset: 0.335 eV per atom
energy of formation from the pure elements: 45 meV per atom

# 4
# Er5Tm6Zr

An optimized crystal structure of Er5Tm6Zr (PBE, Alexandria via LeMat-Bulk).

extended XYZ file:
```
12
Lattice="-10.026 0.550 5.569 -2.159 -5.477 -1.199 1.202 -4.576 3.689" Properties=species:S:1:pos:R:3 pbc="T T T"
Zr 0.000 0.000 0.000
Er -0.318 -3.352 0.832
Tm -7.352 -1.528 5.314
Tm -9.204 -3.717 3.303
Er -0.640 -6.701 1.658
Tm -3.632 -7.975 2.746
Tm -7.643 -4.902 6.198
Er -6.412 -5.814 3.015
Er -6.093 -2.463 2.185
Er -4.572 -3.689 5.045
Tm -2.982 -1.210 1.068
Tm -3.341 -4.601 1.862
```

## Properties
calculated total energy: -4.807 eV/atom
crystal system: monoclinic
SG: C2/m
energy of formation from the pure elements: 42 meV per atom

# 5
# Ta2CoAs

An optimized crystal structure of Ta2CoAs (PBE, Alexandria via LeMat-Bulk).

extended XYZ file:
```
4
Lattice="-0.091 -2.804 -2.350 -1.786 -1.787 2.202 -5.149 0.911 -0.888" Properties=species:S:1:pos:R:3 pbc="T T T"
Ta -6.597 -0.861 1.282
As -3.757 -0.793 1.091
Ta -2.068 -1.657 -0.792
Co -5.007 -1.684 -0.646
```

## Properties
calculated total energy: -9.180 eV/atom
crystal system: orthorhombic
SG: Amm2
energy of formation from the pure elements: -314 meV per atom

# 6
# Th2InTe

An optimized crystal structure of Th2InTe (PBE, Alexandria via LeMat-Bulk).

extended XYZ file:
```
4
Lattice="-3.428 2.014 -2.297 -2.999 -2.557 -2.356 -6.286 -0.644 4.227" Properties=species:S:1:pos:R:3 pbc="T T T"
Te -6.357 -0.593 -0.213
Th -3.142 -0.293 -0.157
In 0.000 0.000 0.000
Th -9.571 -0.894 -0.270
```

## Properties
calculated total energy: -5.736 eV/atom
crystal system: trigonal
SG: R-3m
excess energy over the best structure of this formula in the dataset: 0.098 eV per atom
raw formation energy: -556 meV per atom

# 7
# ScTlZn2

An optimized crystal structure of ScTlZn2 (PBE, Alexandria via LeMat-Bulk).

extended XYZ file:
```
4
Lattice="-0.413 -1.693 -3.920 0.570 -3.889 1.619 -3.617 -4.250 2.216" Properties=species:S:1:pos:R:3 pbc="T T T"
Zn 0.000 0.000 0.000
Zn 0.078 -2.791 -1.151
Tl -1.808 -2.125 1.108
Sc -1.730 -4.916 -0.043
```

## Properties
calculated total energy: -2.981 eV/atom
crystal system: orthorhombic
SG: Pmmm
excess energy over the best structure of this formula in the dataset: 0.000 eV per atom
energy of formation from the pure elements: -169 meV per atom

# 8
# AcTbScAl

An optimized crystal structure of AcTbScAl (PBE, Alexandria via LeMat-Bulk).

extended XYZ file:
```
4
Lattice="5.393 0.000 0.000 2.697 4.671 0.000 2.697 1.557 4.403" Properties=species:S:1:pos:R:3 pbc="T T T"
Ac 8.090 4.671 3.303
Tb 5.393 3.114 2.202
Sc 0.000 0.000 0.000
Al 2.697 1.557 1.101
```

## Properties
calculated total energy: -4.612 eV/atom
crystal system: cubic
SG: F-43m
energy of formation from the pure elements: 91 meV per atom